1.
DFT (GGA-PBE) results for a geometry-optimized Na3TaO4 structure.

```
data_Na3TaO4
_cell_length_a 5.7181
_cell_length_b 6.5326
_cell_length_c 5.4309
_cell_angle_alpha 90.00
_cell_angle_beta 109.44
_cell_angle_gamma 90.00
_symmetry_space_group_name_H-M 'P 1'
_symmetry_Int_Tables_number 1
_symmetry_space_group_name_Hall 'P 1'
loop_
_atom_site_label
_atom_site_fract_x
_atom_site_fract_y
_atom_site_fract_z
Na1 0.0000 0.1070 0.2500
Na2 0.0000 0.3782 0.7500
Na3 0.0000 0.6218 0.2500
Na4 0.0000 0.8930 0.7500
Na5 0.5000 0.1209 0.7500
Na6 0.5000 0.8791 0.2500
Ta1 0.5000 0.3593 0.2500
Ta2 0.5000 0.6407 0.7500
O1 0.2733 0.1628 0.0397
O2 0.2733 0.8372 0.5397
O3 0.3003 0.3987 0.4930
O4 0.3003 0.6013 0.9930
O5 0.6997 0.3987 0.0070
O6 0.6997 0.6013 0.5070
O7 0.7267 0.1628 0.4603
O8 0.7267 0.8372 0.9603
```

## Properties
SG: P2/c, No. 13
E, eV/atom: -6.737
Mass density, g/cm³: 5.4
M_tot, μB per cell: 0.00



2.
DFT (GGA-PBE) results for a geometry-optimized Zr4Sc2Pb3C3 structure.

```
data_Zr4Sc2Pb3C3
_cell_length_a 5.9065
_cell_length_b 5.9065
_cell_length_c 15.3811
_cell_angle_alpha 101.11
_cell_angle_beta 101.11
_cell_angle_gamma 59.99
_symmetry_space_group_name_H-M 'P 1'
_symmetry_Int_Tables_number 1
_symmetry_space_group_name_Hall 'P 1'
loop_
_atom_site_label
_atom_site_fract_x
_atom_site_fract_y
_atom_site_fract_z
Zr1 0.0233 0.1973 0.0806
Zr2 0.1431 0.3065 0.4194
Zr3 0.1973 0.0233 0.5806
Zr4 0.3065 0.1431 0.9194
Zr5 0.6935 0.8569 0.0806
Zr6 0.8027 0.9767 0.4194
Zr7 0.8569 0.6935 0.5806
Zr8 0.9767 0.8027 0.9194
Sc1 0.3643 0.5275 0.0814
Sc2 0.4725 0.6357 0.4186
Sc3 0.5275 0.3643 0.5814
Sc4 0.6357 0.4725 0.9186
Pb1 0.0826 0.9174 0.2500
Pb2 0.2515 0.4154 0.7493
Pb3 0.4154 0.2515 0.2493
Pb4 0.5846 0.7485 0.7507
Pb5 0.7485 0.5846 0.2507
Pb6 0.9174 0.0826 0.7500
C1 0.0000 0.5000 0.0000
C2 0.1618 0.6690 0.5000
C3 0.3310 0.8382 0.0000
C4 0.5000 0.0000 0.5000
C5 0.6690 0.1618 0.0000
C6 0.8382 0.3310 0.5000
```

## Properties
SG: C2/c, No. 15
E, eV/atom: -7.803
Mass density, g/cm³: 8.2
M_tot, μB per cell: 0.01



3.
DFT (GGA-PBE) results for a geometry-optimized NdZr2 structure.

```
data_NdZr2
_cell_length_a 8.4127
_cell_length_b 8.4127
_cell_length_c 8.4127
_cell_angle_alpha 60.00
_cell_angle_beta 60.00
_cell_angle_gamma 60.00
_symmetry_space_group_name_H-M 'P 1'
_symmetry_Int_Tables_number 1
_symmetry_space_group_name_Hall 'P 1'
loop_
_atom_site_label
_atom_site_fract_x
_atom_site_fract_y
_atom_site_fract_z
Nd1 0.1250 0.1250 0.1250
Nd2 0.8750 0.8750 0.8750
Zr1 0.0000 0.0000 0.0000
Zr2 0.0000 0.0000 0.5000
Zr3 0.0000 0.5000 0.0000
Zr4 0.5000 0.0000 0.0000
```

## Properties
SG: Fd-3m, No. 227
Polymorph energy (0 for the lowest one), eV/f.u.: 9.14
Formation enthalpy at 0 K, eV/atom: 3.139
Mass density, g/cm³: 2.6
M_tot, μB per cell: 0.01